Below is TaNbP after structural relaxation, with properties calculated at the PBE level.

Output
The total energy is -9.768 eV/atom. As for the space group: Fmmm. The formation energy from the elements comes out at -657 meV per atom.

Cell lengths 4.9824, 4.9824, 5.0094 Å; angles 106.07, 106.07, 116.31 degrees
Last column: nearest neighbours and their distance in Å.
Fractional coordinates of all 6 atoms:
Ta: 0.1656 0.1656 0.3312  4 P 2.59, 1 Ta 2.82
P: 0.2500 0.7500 0.5000  4 Ta 2.59, 4 Nb 2.60, 2 P 2.63
P: 0.7500 0.2500 0.5000  4 Ta 2.59, 4 Nb 2.60, 2 P 2.63
Ta: 0.8344 0.8344 0.6688  4 P 2.59, 1 Ta 2.82
Nb: 0.3322 0.6678 0.0000  4 P 2.60, 1 Nb 2.84
Nb: 0.6678 0.3322 0.0000  4 P 2.60, 1 Nb 2.84